# 1
{
  "formula": "KRb3",
  "functional": "PBE",
  "state": "relaxed",
  "lattice": [[6.980, 0.000, 0.000], [0.000, 7.020, 0.000], [0.000, 0.000, 7.016]],
  "species": ["Rb", "Rb", "Rb", "K"],
  "frac_coords": [[0.500, 0.500, 0.083], [0.000, 0.000, 0.084], [0.000, 0.500, 0.584], [0.500, 0.000, 0.583]],
  "ef_ev_per_atom": 0.0043,
  "dos_ef_per_ev_atom": 0.856,
  "e_tot_ev_per_atom": -0.9958
}

***

# 2
{
  "formula": "Ni2Pd7Pt",
  "functional": "PBE",
  "state": "relaxed",
  "lattice": [[-3.999, 0.584, 0.383], [0.314, -2.334, 6.841], [0.880, 7.021, -1.509]],
  "species": ["Pd", "Pd", "Pd", "Pd", "Pd", "Pd", "Pd", "Ni", "Ni", "Pt"],
  "frac_coords": [[0.500, 0.927, 0.699], [0.500, 0.073, 0.301], [0.500, 0.500, 0.500], [0.000, 0.789, 0.211], [0.000, 0.211, 0.789], [0.500, 0.699, 0.927], [0.500, 0.301, 0.073], [0.500, 0.308, 0.692], [0.500, 0.692, 0.308], [0.000, 0.000, 0.000]],
  "ef_ev_per_atom": 0.5357,
  "dos_ef_per_ev_atom": 1.671,
  "e_tot_ev_per_atom": -4.8597
}